1.
NaSr3Mn: relaxed, PBE-GGA. Values from VASP.

```
&SYSTEM
  ibrav = 0, nat = 5, ntyp = 3
/
ATOMIC_SPECIES
Na 22.99 Na.upf
Sr 87.62 Sr.upf
Mn 54.94 Mn.upf
ATOMIC_POSITIONS crystal
Na 0.000 0.000 0.000
Sr 0.000 0.500 0.500
Sr 0.500 0.000 0.500
Sr 0.500 0.500 0.000
Mn 0.500 0.500 0.500
CELL_PARAMETERS angstrom
5.887 0.000 0.000
0.000 5.887 0.000
0.000 0.000 5.887
```

Properties
- Final energy: -0.092 hartree per atom
- ΔH_f (0 K): 0.6153 eV per atom
- Distance to the lowest polymorph of the same formula: 0.0 kJ/mol of atoms

---

2.
NaTa3Mn: relaxed, PBE-GGA. Values from VASP.

```
&SYSTEM
  ibrav = 0, nat = 5, ntyp = 3
/
ATOMIC_SPECIES
Na 22.99 Na.upf
Ta 180.95 Ta.upf
Mn 54.94 Mn.upf
ATOMIC_POSITIONS crystal
Na 0.000 0.000 0.000
Ta 0.000 0.500 0.500
Ta 0.500 0.000 0.500
Ta 0.500 0.500 0.000
Mn 0.500 0.500 0.500
CELL_PARAMETERS angstrom
4.678 0.000 0.000
0.000 4.678 0.000
0.000 0.000 4.678
```

Properties
- Final energy: -0.303 hartree per atom
- ΔH_f (0 K): 0.9775 eV per atom

---

3.
NaTa2Mn2: relaxed, PBE-GGA. Values from VASP.

```
&SYSTEM
  ibrav = 0, nat = 5, ntyp = 3
/
ATOMIC_SPECIES
Na 22.99 Na.upf
Ta 180.95 Ta.upf
Mn 54.94 Mn.upf
ATOMIC_POSITIONS crystal
Na 0.000 0.000 0.000
Ta 0.250 0.750 0.500
Ta 0.750 0.250 0.500
Mn 0.386 0.386 0.000
Mn 0.614 0.614 0.000
CELL_PARAMETERS angstrom
-2.073 2.073 5.359
2.073 -2.073 5.359
2.073 2.073 -5.359
```

Properties
- Final energy: -0.294 hartree per atom
- ΔH_f (0 K): 0.6675 eV per atom
- Distance to the lowest polymorph of the same formula: 21.8 kJ/mol of atoms